1.
Entry from Alexandria: crystalline RbMg2Au2 at its relaxed geometry (PBE).

- E above lowest polymorph: 48 meV/atom
- Crystal system: tetragonal
- ΔH_f (0 K): -0.31 eV per atom

Cell: 8.5977 8.5977 3.1229 Å, 90.00 90.00 90.00°
With the nearest neighbours (Å) after each atom.
Space group P4/mbm (No. 127)
Unique sites:
Rb: 0.0000 0.0000 0.0000 [2 per cell]  2 Rb 3.12, 4 Mg 3.40
Mg: 0.1251 0.3749 0.0000 [4 per cell]  6 Au 2.95-3.01, 3 Mg 3.04-3.12
Au: 0.1634 0.6634 0.5000 [4 per cell]  6 Mg 2.95-3.01, 2 Au 3.12



2.
Entry from Alexandria: crystalline Tb2Sm2Hg7 at its relaxed geometry (PBE).

- Crystal system: orthorhombic
- ΔH_f (0 K): -0.10 eV per atom

Cell: 8.7954 10.7269 7.1137 Å, 90.00 90.00 90.00°
With the nearest neighbours (Å) after each atom.
Space group Cmmm (No. 65)
Unique sites:
Tb: 0.0000 0.2076 0.0000 [4 per cell]  7 Hg 3.01-3.14
Sm: 0.1959 0.5000 0.5000 [4 per cell]  6 Hg 3.08-3.12, 1 Sm 3.45
Hg: 0.0000 0.0000 0.2840 [4 per cell]  2 Tb 3.01, 1 Hg 3.07, 2 Sm 3.08
Hg: 0.0000 0.5000 0.0000 [2 per cell]  2 Tb 3.14
Hg: 0.2500 0.2500 0.2858 [8 per cell]  2 Tb 3.03, 1 Hg 3.05, 2 Sm 3.12



3.
Entry from Alexandria: crystalline GaSnAu at its relaxed geometry (PBE).

- Crystal system: orthorhombic
- ΔH_f (0 K): -0.07 eV per atom

Cell: 7.6341 5.4278 6.4333 Å, 90.00 90.00 90.00°
With the nearest neighbours (Å) after each atom.
Space group Pnma (No. 62)
Unique sites:
Ga: 0.0000 0.0000 0.0000 [4 per cell]  2 Ga 2.71, 4 Au 2.80-2.99
Sn: 0.1130 0.2500 0.4302 [4 per cell]  4 Au 2.88-2.94, 2 Ga 3.20
Au: 0.2132 0.7500 0.3282 [4 per cell]  4 Ga 2.80-2.99, 4 Sn 2.88-2.94



4.
Entry from Alexandria: crystalline BaTlSb2Te at its relaxed geometry (PBE).

- E above lowest polymorph: 477 meV/atom
- Crystal system: tetragonal
- Uncorrected formation energy: 0.4545 eV/atom

Cell: 6.3478 6.3478 6.4541 Å, 90.00 90.00 90.00°
With the nearest neighbours (Å) after each atom.
Space group P4/mmm (No. 123)
Unique sites:
Ba: 0.0000 0.0000 0.0000 [1 per cell]  4 Sb 3.17, 2 Te 3.23
Tl: 0.5000 0.5000 0.5000 [1 per cell]  4 Te 4.49, 8 Sb 4.53
Sb: 0.0000 0.5000 0.0000 [2 per cell]  2 Ba 3.17
Te: 0.0000 0.0000 0.5000 [1 per cell]  2 Ba 3.23



> What is the formula in the second record?

Tb2Sm2Hg7



Please write out number 2 again, unchanged.
Entry from Alexandria: crystalline Tb2Sm2Hg7 at its relaxed geometry (PBE).

- Crystal system: orthorhombic
- ΔH_f (0 K): -0.10 eV per atom

Cell: 8.7954 10.7269 7.1137 Å, 90.00 90.00 90.00°
With the nearest neighbours (Å) after each atom.
Space group Cmmm (No. 65)
Unique sites:
Tb: 0.0000 0.2076 0.0000 [4 per cell]  7 Hg 3.01-3.14
Sm: 0.1959 0.5000 0.5000 [4 per cell]  6 Hg 3.08-3.12, 1 Sm 3.45
Hg: 0.0000 0.0000 0.2840 [4 per cell]  2 Tb 3.01, 1 Hg 3.07, 2 Sm 3.08
Hg: 0.0000 0.5000 0.0000 [2 per cell]  2 Tb 3.14
Hg: 0.2500 0.2500 0.2858 [8 per cell]  2 Tb 3.03, 1 Hg 3.05, 2 Sm 3.12